Material: KFe2AgF8
Method: DFT, GGA+U
State: optimized geometry

a = 6.222 Å, b = 6.222 Å, c = 6.271 Å
α = 90.00°, β = 90.00°, γ = 120.00°
Each line ends with the local moment (μB).
Positions (direct):
K (0.000, 0.000, 0.500)  0.00
Fe (0.667, 0.333, 0.027)  4.40
Fe (0.333, 0.667, 0.973)  4.40
Ag (0.000, 0.000, 0.000)  -0.07
F (0.919, 0.607, 0.869)  0.10
F (0.393, 0.313, 0.869)  0.10
F (0.687, 0.081, 0.869)  0.10
F (0.081, 0.393, 0.131)  0.10
F (0.607, 0.687, 0.131)  0.10
F (0.313, 0.919, 0.131)  0.10
F (0.667, 0.333, 0.318)  0.17
F (0.333, 0.667, 0.682)  0.17

Its space-group type is No. 147.

---

Material: K3Fe2AgF9
Method: DFT, GGA+U
State: optimized geometry

a = 5.982 Å, b = 5.982 Å, c = 7.628 Å
α = 90.00°, β = 90.00°, γ = 120.00°
Each line ends with the local moment (μB).
Positions (direct):
K (0.333, 0.667, 0.650)  0.00
K (0.000, 0.000, 0.000)  0.00
K (0.667, 0.333, 0.350)  0.00
Fe (0.333, 0.667, 0.151)  4.17
Fe (0.667, 0.333, 0.849)  4.17
Ag (0.000, 0.000, 0.500)  0.03
F (0.822, 0.178, 0.700)  0.06
F (0.822, 0.645, 0.700)  0.06
F (0.355, 0.178, 0.700)  0.06
F (0.645, 0.822, 0.300)  0.06
F (0.178, 0.355, 0.300)  0.06
F (0.178, 0.822, 0.300)  0.06
F (0.500, 0.000, 0.000)  0.07
F (0.000, 0.500, 0.000)  0.07
F (0.500, 0.500, 0.000)  0.07

Its space-group type is No. 164.

---

| no. | DFT total energy (eV per atom) | Fermi-level density of states (states/eV/atom) |
| --- | --- | --- |
| 1 | -4.66 | 0.000 |
| 2 | -4.66 | 0.456 |